Entry 1:
The following is a DFT calculation (PBE) of a relaxed ZnSiPbO4 crystal.

Summary:
The calculation puts the formation energy without anion corrections at -1.980 eV/atom. The calculation puts the raw total energy at -6.300 eV/atom.

Lattice parameters (Å, degrees): 5.1465 8.3807 19.3014 90.00 90.00 90.00
Element x y z (fractional)
Zn 0.7205 0.0007 0.4428
Zn 0.2205 0.9993 0.5572
Zn 0.2205 0.4993 0.9428
Zn 0.7205 0.5007 0.0572
Zn 0.7197 0.3196 0.3439
Zn 0.2197 0.6804 0.6561
Zn 0.2197 0.1804 0.8439
Zn 0.7197 0.8196 0.1561
Si 0.2107 0.2292 0.4269
Si 0.7107 0.7708 0.5731
Si 0.7107 0.2708 0.9269
Si 0.2107 0.7292 0.0731
Si 0.7260 0.7016 0.3231
Si 0.2260 0.2984 0.6769
Si 0.2260 0.7984 0.8231
Si 0.7260 0.2016 0.1769
Pb 0.2884 0.6473 0.4411
Pb 0.7884 0.3527 0.5589
Pb 0.7884 0.8527 0.9411
Pb 0.2884 0.1473 0.0589
Pb 0.2537 0.5430 0.2328
Pb 0.7537 0.4570 0.7672
Pb 0.7537 0.9570 0.7328
Pb 0.2537 0.0430 0.2672
O 0.5278 0.2006 0.4189
O 0.0278 0.7994 0.5811
O 0.0278 0.2994 0.9189
O 0.5278 0.7006 0.0811
O 0.1494 0.3879 0.4735
O 0.6494 0.6121 0.5265
O 0.6494 0.1121 0.9735
O 0.1494 0.8879 0.0265
O 0.0818 0.0697 0.4648
O 0.5818 0.9303 0.5352
O 0.5818 0.4303 0.9648
O 0.0818 0.5697 0.0352
O 0.0835 0.2463 0.3484
O 0.5835 0.7537 0.6516
O 0.5835 0.2537 0.8484
O 0.0835 0.7463 0.1516
O 0.0405 0.6778 0.3199
O 0.5405 0.3222 0.6801
O 0.5405 0.8222 0.8199
O 0.0405 0.1778 0.1801
O 0.5782 0.5368 0.3531
O 0.0782 0.4632 0.6469
O 0.0782 0.9632 0.8531
O 0.5782 0.0368 0.1469
O 0.5982 0.2250 0.2554
O 0.0982 0.7750 0.7446
O 0.0982 0.2750 0.7554
O 0.5982 0.7250 0.2446
O 0.6323 0.3466 0.1266
O 0.1323 0.6534 0.8734
O 0.1323 0.1534 0.6266
O 0.6323 0.8466 0.3734


Entry 2:
The following is a DFT calculation (PBE) of a relaxed ZrSiPbO5 crystal.

Summary:
The calculation puts the formation energy without anion corrections at -2.589 eV/atom. The calculation puts the raw total energy at -7.898 eV/atom.

Lattice parameters (Å, degrees): 5.8462 5.8462 7.6492 104.50 104.50 105.91
Element x y z (fractional)
Zr 0.0000 0.0000 0.5000
Zr 0.0000 0.0000 0.0000
Si 0.6823 0.3177 0.2500
Si 0.3177 0.6823 0.7500
Pb 0.3270 0.6730 0.2500
Pb 0.6730 0.3270 0.7500
O 0.0764 0.9236 0.2500
O 0.9236 0.0764 0.7500
O 0.8775 0.3047 0.1241
O 0.1225 0.6953 0.8759
O 0.6953 0.1225 0.3759
O 0.3047 0.8775 0.6241
O 0.7613 0.6085 0.3982
O 0.2387 0.3915 0.6018
O 0.3915 0.2387 0.1018
O 0.6085 0.7613 0.8982